No. 1
Below is crystalline Pm2YSbO8 at its relaxed geometry, with properties calculated at the PBE level.

Summary:
Its crystal system is triclinic. Its uncorrected formation energy is -2.41 eV per atom. The density of states at the Fermi level is 7.1 states/eV/f.u. As for the total energy: -7.39 eV/atom. For the calculated volume, the calculation gives 164.0 Å³ per cell.

Lattice parameters (Å, degrees): 4.145 5.378 7.376 90.03 90.06 94.28
Space group P-1 (No. 2)
Inequivalent atoms, fractional coordinates:
1 Pm 0.001 0.001 0.250
2 Y 0.500 0.500 0.000
3 Sb 0.500 0.500 0.500
4 O 0.018 0.258 0.000
5 O 0.070 0.303 0.501
6 O 0.457 0.738 0.716
7 O 0.457 0.739 0.284

No. 2
Below is crystalline PmYSbO6 at its relaxed geometry, with properties calculated at the PBE level.

Summary:
Its crystal system is trigonal. Its uncorrected formation energy is -2.39 eV per atom. The density of states at the Fermi level is 4.7 states/eV/f.u. As for the total energy: -7.40 eV/atom. For the calculated volume, the calculation gives 269.6 Å³ per cell.

Lattice parameters (Å, degrees): 5.6890 5.6890 9.6175 90.00 90.00 120.00
Space group P-31c (No. 163)
Inequivalent atoms, fractional coordinates:
1 Pm 0.0000 0.0000 0.0000
2 Y 0.3333 0.6667 0.2500
3 Sb 0.3333 0.6667 0.7500
4 O 0.0370 0.3685 0.6362

No. 3
Below is crystalline PmZn2SbO6 at its relaxed geometry, with properties calculated at the PBE level.

Summary:
Its crystal system is trigonal. Its uncorrected formation energy is -1.94 eV per atom. The density of states at the Fermi level is 0.0 states/eV/f.u. As for the total energy: -6.06 eV/atom. For the calculated volume, the calculation gives 403.4 Å³ per cell.

Lattice parameters (Å, degrees): 5.3742 5.3742 16.1262 90.00 90.00 120.00
Space group R-3 (No. 148, hexagonal axes)
Inequivalent atoms, fractional coordinates:
1 Pm 0.0000 0.0000 0.0000
2 Zn 0.0000 0.0000 0.2017
3 Sb 0.0000 0.0000 0.5000
4 O 0.0114 0.6482 0.2360

No. 4
Below is crystalline PmZrSbO6 at its relaxed geometry, with properties calculated at the PBE level.

Summary:
Its crystal system is trigonal. Its uncorrected formation energy is -2.63 eV per atom. The density of states at the Fermi level is 0.0 states/eV/f.u. As for the total energy: -7.87 eV/atom. For the calculated volume, the calculation gives 258.3 Å³ per cell.

Lattice parameters (Å, degrees): 5.4517 5.4517 10.0336 90.00 90.00 120.00
Space group P-31c (No. 163)
Inequivalent atoms, fractional coordinates:
1 Pm 0.0000 0.0000 0.0000
2 Zr 0.3333 0.6667 0.2500
3 Sb 0.3333 0.6667 0.7500
4 O 0.0157 0.3679 0.6391

No. 5
Below is crystalline PmZrSb2O8 at its relaxed geometry, with properties calculated at the PBE level.

Summary:
Its crystal system is tetragonal. Its uncorrected formation energy is -2.11 eV per atom. The density of states at the Fermi level is 1.3 states/eV/f.u. As for the total energy: -7.21 eV/atom. For the calculated volume, the calculation gives 359.5 Å³ per cell.

Lattice parameters (Å, degrees): 7.238 7.238 6.862 90.00 90.00 90.00
Space group I-4m2 (No. 119)
Inequivalent atoms, fractional coordinates:
1 Pm 0.000 0.000 0.000
2 Zr 0.000 0.500 0.250
3 Sb 0.000 0.000 0.500
4 Sb 0.000 0.500 0.750
5 O 0.000 0.203 0.303
6 O 0.000 0.321 0.955

No. 6
Below is crystalline Pm3ScO6 at its relaxed geometry, with properties calculated at the PBE level.

Summary:
Its crystal system is trigonal. Its uncorrected formation energy is -3.46 eV per atom. The density of states at the Fermi level is 0.0 states/eV/f.u. As for the total energy: -8.49 eV/atom. For the calculated volume, the calculation gives 936.2 Å³ per cell.

Lattice parameters (Å, degrees): 9.7877 9.7877 11.2846 90.00 90.00 120.00
Space group R-3 (No. 148, hexagonal axes)
Inequivalent atoms, fractional coordinates:
1 Pm 0.0407 0.7738 0.2056
2 Sc 0.0000 0.0000 0.0000
3 Sc 0.0000 0.0000 0.5000
4 O 0.0275 0.8441 0.8828
5 O 0.0288 0.8224 0.4048

No. 7
Below is crystalline Pm3Sc5O12 at its relaxed geometry, with properties calculated at the PBE level.

Summary:
Its crystal system is cubic. Its uncorrected formation energy is -3.45 eV per atom. The density of states at the Fermi level is 0.0 states/eV/f.u. As for the total energy: -8.72 eV/atom. For the calculated volume, the calculation gives 2222.4 Å³ per cell.

Lattice parameters (Å, degrees): 13.050 13.050 13.050 90.00 90.00 90.00
Space group Ia-3d (No. 230)
Inequivalent atoms, fractional coordinates:
1 Pm 0.000 0.250 0.125
2 Sc 0.000 0.000 0.000
3 Sc 0.000 0.250 0.375
4 O 0.026 0.058 0.651

No. 8
Below is crystalline Pm2ScO at its relaxed geometry, with properties calculated at the PBE level.

Summary:
Its crystal system is trigonal. Its uncorrected formation energy is -1.10 eV per atom. The density of states at the Fermi level is 3.4 states/eV/f.u. As for the total energy: -6.29 eV/atom. For the calculated volume, the calculation gives 292.3 Å³ per cell.

Lattice parameters (Å, degrees): 3.5381 3.5381 26.9672 90.00 90.00 120.00
Space group R-3m (No. 166, hexagonal axes)
Inequivalent atoms, fractional coordinates:
1 Pm 0.0000 0.0000 0.1157
2 Sc 0.0000 0.0000 0.0000
3 O 0.0000 0.0000 0.5000

No. 9
Below is crystalline Pm6ScO12 at its relaxed geometry, with properties calculated at the PBE level.

Summary:
Its crystal system is trigonal. Its uncorrected formation energy is -3.06 eV per atom. The density of states at the Fermi level is 12.7 states/eV/f.u. As for the total energy: -8.03 eV/atom. For the calculated volume, the calculation gives 872.6 Å³ per cell.

Lattice parameters (Å, degrees): 10.2351 10.2351 9.6185 90.00 90.00 120.00
Space group R-3 (No. 148, hexagonal axes)
Inequivalent atoms, fractional coordinates:
1 Pm 0.0553 0.7915 0.1548
2 Sc 0.0000 0.0000 0.5000
3 O 0.0420 0.8177 0.9020
4 O 0.0426 0.8394 0.3949

No. 10
Below is crystalline PmScO2 at its relaxed geometry, with properties calculated at the PBE level.

Summary:
Its crystal system is trigonal. Its uncorrected formation energy is -2.74 eV per atom. The density of states at the Fermi level is 0.5 states/eV/f.u. As for the total energy: -7.99 eV/atom. For the calculated volume, the calculation gives 164.4 Å³ per cell.

Lattice parameters (Å, degrees): 3.2880 3.2880 17.5539 90.00 90.00 120.00
Space group R3m (No. 160, hexagonal axes)
Inequivalent atoms, fractional coordinates:
1 Pm 0.0000 0.0000 0.0000
2 Sc 0.0000 0.0000 0.8236
3 O 0.0000 0.0000 0.2287
4 O 0.0000 0.0000 0.4299

No. 11
Below is crystalline Pm3ScO6 at its relaxed geometry, with properties calculated at the PBE level.

Summary:
Its crystal system is orthorhombic. Its uncorrected formation energy is -3.41 eV per atom. The density of states at the Fermi level is 0.0 states/eV/f.u. As for the total energy: -8.44 eV/atom. For the calculated volume, the calculation gives 607.6 Å³ per cell.

Lattice parameters (Å, degrees): 9.235 11.507 5.717 90.00 90.00 90.00
Space group Cmc2_1 (No. 36)
Inequivalent atoms, fractional coordinates:
1 Pm 0.000 0.103 0.000
2 Pm 0.194 0.393 0.046
3 Sc 0.000 0.316 0.572
4 O 0.000 0.281 0.224
5 O 0.000 0.467 0.758
6 O 0.156 0.240 0.750
7 O 0.160 0.014 0.273

No. 12
Below is crystalline PmScO4 at its relaxed geometry, with properties calculated at the PBE level.

Summary:
Its crystal system is monoclinic. Its uncorrected formation energy is -2.81 eV per atom. The density of states at the Fermi level is 0.0 states/eV/f.u. As for the total energy: -7.96 eV/atom. For the calculated volume, the calculation gives 152.0 Å³ per cell.

Lattice parameters (Å, degrees): 6.760 3.720 6.084 90.00 96.42 90.00
Space group Cm (No. 8)
Inequivalent atoms, fractional coordinates:
1 Pm 0.000 0.000 0.000
2 Sc 0.364 0.000 0.457
3 O 0.041 0.000 0.393
4 O 0.093 0.500 0.762
5 O 0.279 0.500 0.651
6 O 0.334 0.000 0.107

No. 13
Below is crystalline PmScO2 at its relaxed geometry, with properties calculated at the PBE level.

Summary:
Its crystal system is trigonal. Its uncorrected formation energy is -2.74 eV per atom. The density of states at the Fermi level is 0.7 states/eV/f.u. As for the total energy: -7.99 eV/atom. For the calculated volume, the calculation gives 196.8 Å³ per cell.

Lattice parameters (Å, degrees): 3.3870 3.3870 19.8091 90.00 90.00 120.00
Space group R-3m (No. 166, hexagonal axes)
Inequivalent atoms, fractional coordinates:
1 Pm 0.0000 0.0000 0.0000
2 Sc 0.0000 0.0000 0.5000
3 O 0.0000 0.0000 0.1162

No. 14
Below is crystalline PmScO at its relaxed geometry, with properties calculated at the PBE level.

Summary:
Its crystal system is trigonal. Its uncorrected formation energy is -1.76 eV per atom. The density of states at the Fermi level is 2.1 states/eV/f.u. As for the total energy: -7.11 eV/atom. For the calculated volume, the calculation gives 58.3 Å³ per cell.

Lattice parameters (Å, degrees): 3.3942 3.3942 5.8484 90.00 90.00 120.00
Space group P3m1 (No. 156)
Inequivalent atoms, fractional coordinates:
1 Pm 0.0000 0.0000 0.0000
2 Sc 0.3333 0.6667 0.4603
3 O 0.6667 0.3333 0.2900

No. 15
Below is crystalline PmScSe2O at its relaxed geometry, with properties calculated at the PBE level.

Summary:
Its crystal system is tetragonal. Its uncorrected formation energy is -2.31 eV per atom. The density of states at the Fermi level is 1.2 states/eV/f.u. As for the total energy: -6.91 eV/atom. For the calculated volume, the calculation gives 218.1 Å³ per cell.

Lattice parameters (Å, degrees): 3.945 3.945 14.011 90.00 90.00 90.00
Space group P4/nmm (No. 129, origin choice 2)
Inequivalent atoms, fractional coordinates:
1 Pm 0.250 0.250 0.086
2 Sc 0.250 0.250 0.616
3 Se 0.250 0.250 0.411
4 Se 0.250 0.250 0.793
5 O 0.250 0.750 0.000

No. 16
Below is crystalline Pm2ScSe2O2 at its relaxed geometry, with properties calculated at the PBE level.

Summary:
Its crystal system is tetragonal. Its uncorrected formation energy is -2.50 eV per atom. The density of states at the Fermi level is 2.4 states/eV/f.u. As for the total energy: -7.17 eV/atom. For the calculated volume, the calculation gives 261.5 Å³ per cell.

Lattice parameters (Å, degrees): 4.127 4.127 15.351 90.00 90.00 90.00
Space group I4/mmm (No. 139)
Inequivalent atoms, fractional coordinates:
1 Pm 0.000 0.000 0.122
2 Sc 0.000 0.000 0.500
3 Se 0.000 0.000 0.322
4 O 0.000 0.500 0.000

No. 17
Below is crystalline PmScSi2O8 at its relaxed geometry, with properties calculated at the PBE level.

Summary:
Its crystal system is trigonal. Its uncorrected formation energy is -2.62 eV per atom. The density of states at the Fermi level is 9.0 states/eV/f.u. As for the total energy: -7.76 eV/atom. For the calculated volume, the calculation gives 168.3 Å³ per cell.

Lattice parameters (Å, degrees): 5.3631 5.3631 6.7575 90.00 90.00 120.00
Space group P-3m1 (No. 164)
Inequivalent atoms, fractional coordinates:
1 Pm 0.0000 0.0000 0.0000
2 Sc 0.0000 0.0000 0.5000
3 Si 0.3333 0.6667 0.2218
4 O 0.1654 0.3309 0.2905
5 O 0.3333 0.6667 0.9772

No. 18
Below is crystalline PmSc2TaO8 at its relaxed geometry, with properties calculated at the PBE level.

Summary:
Its crystal system is orthorhombic. Its uncorrected formation energy is -2.85 eV per atom. The density of states at the Fermi level is 7.4 states/eV/f.u. As for the total energy: -8.60 eV/atom. For the calculated volume, the calculation gives 323.8 Å³ per cell.

Lattice parameters (Å, degrees): 6.883 6.922 6.797 90.00 90.00 90.00
Space group Cmmm (No. 65)
Inequivalent atoms, fractional coordinates:
1 Pm 0.000 0.000 0.000
2 Sc 0.000 0.500 0.259
3 Ta 0.000 0.000 0.500
4 O 0.000 0.293 0.500
5 O 0.000 0.329 0.000
6 O 0.197 0.000 0.286